Record 1
Material: Tc2BO8
Method: DFT, GGA-PBE
State: optimized geometry

Unit cell a=6.1759 b=5.7349 c=5.7349 alpha=70.83 beta=85.97 gamma=85.97
Each line ends with the local moment (μB).
Atoms (fractional coordinates):
Tc  0.7025  0.2038  0.2038  0.37
Tc  0.2975  0.7962  0.7962  0.37
B  0.0000  0.0000  0.0000  0.05
O  0.1259  0.0829  0.7351  -0.01
O  0.1259  0.7351  0.0829  -0.01
O  0.8741  0.9171  0.2649  -0.01
O  0.2592  0.6183  0.6183  0.02
O  0.8741  0.2649  0.9171  -0.01
O  0.4306  0.1761  0.1761  0.02
O  0.5694  0.8239  0.8239  0.02
O  0.7408  0.3817  0.3817  0.02

Summary:
The density of states at the Fermi level is 0.659 states/eV per cell. The calculation puts the formation energy without anion corrections at -1.059 eV/atom. The total energy is -78.7 eV for the cell shown. Its crystal system is monoclinic. Its space group is C2/m, No. 12. The value obtained for the calculated density is 2.909 g cm⁻³.

=====

Record 2
Material: TcB3O
Method: DFT, GGA-PBE
State: optimized geometry

Unit cell a=4.0892 b=4.0892 c=4.0892 alpha=90.00 beta=90.00 gamma=90.00
Each line ends with the local moment (μB).
Atoms (fractional coordinates):
B  0.0000  0.5000  0.0000  0.08
B  0.0000  0.0000  0.5000  0.02
B  0.5000  0.0000  0.0000  0.06
Tc  0.0000  0.0000  0.0000  0.33
O  0.5000  0.5000  0.5000  1.29

Summary:
The distance to the lowest polymorph of the same formula comes out at 0.552 eV per atom. The density of states at the Fermi level is 6.059 states/eV per cell. The calculation puts the formation energy without anion corrections at 1.663 eV/atom. The total energy is -27.0 eV for the cell shown. Its crystal system is cubic. Its space group is Pm-3m, No. 221. The value obtained for the calculated density is 3.556 g cm⁻³.

=====

Record 3
Material: TcBO2
Method: DFT, GGA-PBE
State: optimized geometry

Unit cell a=6.1088 b=6.1088 c=6.1088 alpha=23.99 beta=23.99 gamma=23.99
Atoms (fractional coordinates):
B  0.5000  0.5000  0.5000
Tc  0.0000  0.0000  0.0000
O  0.8825  0.8825  0.8825
O  0.1175  0.1175  0.1175

Summary:
The density of states at the Fermi level is 1.362 states/eV per cell. The calculation puts the formation energy without anion corrections at -0.943 eV/atom. The total energy is -30.7 eV for the cell shown. Its crystal system is trigonal. Its space group is R-3m, No. 166. The value obtained for the calculated density is 7.064 g cm⁻³.

=====

Record 4
Material: TcB3O
Method: DFT, GGA-PBE
State: optimized geometry

Unit cell a=3.4776 b=3.4776 c=3.4776 alpha=90.00 beta=90.00 gamma=90.00
Each line ends with the local moment (μB).
Atoms (fractional coordinates):
B  0.0000  0.5000  0.0000  0.00
B  0.0000  0.0000  0.5000  0.00
B  0.5000  0.0000  0.0000  -0.01
Tc  0.5000  0.5000  0.5000  0.17
O  0.0000  0.0000  0.0000  0.00

Summary:
The distance to the lowest polymorph of the same formula comes out at 0.000 eV per atom. The density of states at the Fermi level is 3.316 states/eV per cell. The calculation puts the formation energy without anion corrections at 1.111 eV/atom. The total energy is -29.8 eV for the cell shown. Its crystal system is cubic. Its space group is Pm-3m, No. 221. The value obtained for the calculated density is 5.782 g cm⁻³.

=====

Record 5
Material: TcBO2
Method: DFT, GGA-PBE
State: optimized geometry

Unit cell a=4.3904 b=4.3904 c=4.8162 alpha=62.88 beta=62.88 gamma=90.00
Each line ends with the local moment (μB).
Atoms (fractional coordinates):
B  0.5000  0.5000  0.0000  0.00
B  0.2500  0.7500  0.5000  0.00
Tc  0.0000  0.0000  0.0000  0.74
Tc  0.7500  0.2500  0.5000  0.70
O  0.4867  0.1250  0.2500  0.02
O  0.2633  0.6250  0.2500  0.02
O  0.3750  0.5133  0.7500  0.03
O  0.8750  0.7367  0.7500  0.03

Summary:
The density of states at the Fermi level is 4.488 states/eV per cell. The calculation puts the formation energy without anion corrections at -0.741 eV/atom. The total energy is -59.8 eV for the cell shown. Its crystal system is tetragonal. Its space group is I-42d, No. 122. The value obtained for the calculated density is 6.589 g cm⁻³.

=====

Record 6
Material: Ti2TcBO
Method: DFT, GGA-PBE
State: optimized geometry

Unit cell a=4.6363 b=4.6363 c=2.9767 alpha=90.00 beta=90.00 gamma=90.00
Atoms (fractional coordinates):
B  0.0000  0.0000  0.0000
Tc  0.5000  0.5000  0.5000
O  0.0000  0.0000  0.5000
Ti  0.0000  0.5000  0.0000
Ti  0.5000  0.0000  0.0000

Summary:
The density of states at the Fermi level is 4.082 states/eV per cell. The calculation puts the formation energy without anion corrections at 0.111 eV/atom. The total energy is -37.2 eV for the cell shown. Its crystal system is tetragonal. Its space group is P4/mmm, No. 123. The value obtained for the calculated density is 5.723 g cm⁻³.